Entry 1:
DFT (PBE-GGA) results for an optimized crystal structure of TaSbIr3.

Summary:
formation energy from raw total energies: 6.3 eV per formula unit

a = 4.814 Å, b = 4.814 Å, c = 4.814 Å
α = 90.00°, β = 90.00°, γ = 90.00°
Fractional coordinates of all 5 atoms:
Sb (0.500, 0.500, 0.500)
Ir (0.000, 0.500, 0.000)
Ir (0.000, 0.000, 0.500)
Ir (0.500, 0.000, 0.000)
Ta (0.000, 0.000, 0.000)

=====

Entry 2:
DFT (PBE-GGA) results for an optimized crystal structure of MnNb4Tc3.

Summary:
E_form: -0.277 eV per atom

a = 3.169 Å, b = 3.169 Å, c = 12.652 Å
α = 90.00°, β = 90.00°, γ = 90.00°
Fractional coordinates of all 8 atoms:
Nb (0.000, 0.000, 0.880)
Nb (0.000, 0.000, 0.120)
Nb (0.000, 0.000, 0.373)
Nb (0.000, 0.000, 0.627)
Mn (0.500, 0.500, 0.000)
Tc (0.500, 0.500, 0.246)
Tc (0.500, 0.500, 0.500)
Tc (0.500, 0.500, 0.754)

=====

Entry 3:
DFT (PBE-GGA) results for an optimized crystal structure of Tb2Zn3Si.

Summary:
formation energy from raw total energies: -3.1 eV per formula unit

a = 5.675 Å, b = 5.675 Å, c = 8.369 Å
α = 106.19°, β = 106.19°, γ = 100.23°
Fractional coordinates of all 12 atoms:
Tb (0.250, 0.750, 0.500)
Tb (0.754, 0.754, 0.000)
Tb (0.750, 0.250, 0.500)
Tb (0.246, 0.246, 0.000)
Zn (0.664, 0.170, 0.833)
Zn (0.830, 0.336, 0.167)
Zn (0.336, 0.830, 0.167)
Zn (0.170, 0.664, 0.833)
Zn (0.832, 0.832, 0.665)
Zn (0.168, 0.168, 0.335)
Si (0.334, 0.334, 0.668)
Si (0.666, 0.666, 0.332)

=====

Entry 4:
DFT (PBE-GGA) results for an optimized crystal structure of Li4Pu3NbN8.

Summary:
formation energy from raw total energies: -13.8 eV per formula unit

a = 6.688 Å, b = 6.355 Å, c = 6.688 Å
α = 121.76°, β = 120.00°, γ = 90.00°
Each line ends with the local moment (μB).
Fractional coordinates of all 16 atoms:
Li (0.500, 0.000, 0.000)  0.01
Li (0.500, 0.000, 0.500)  0.00
Li (0.000, 0.000, 0.000)  0.00
Li (0.000, 0.000, 0.500)  0.00
Pu (0.500, 0.500, 0.000)  3.50
Pu (0.500, 0.500, 0.500)  3.50
Pu (0.000, 0.500, 0.500)  3.50
Nb (0.000, 0.500, 0.000)  0.17
N (0.233, 0.713, 0.979)  -0.17
N (0.233, 0.713, 0.466)  -0.17
N (0.263, 0.289, 0.526)  -0.22
N (0.746, 0.713, 0.979)  -0.17
N (0.254, 0.287, 0.021)  -0.17
N (0.737, 0.711, 0.474)  -0.22
N (0.767, 0.287, 0.534)  -0.17
N (0.767, 0.287, 0.021)  -0.17

=====

Entry 5:
DFT (PBE-GGA) results for an optimized crystal structure of ScTa2Be.

Summary:
E_form: 0.237 eV per atom

a = 3.234 Å, b = 4.473 Å, c = 4.806 Å
α = 90.00°, β = 90.00°, γ = 90.00°
Fractional coordinates of all 4 atoms:
Sc (0.000, 0.500, 0.500)
Be (0.500, 0.000, 0.500)
Ta (0.000, 0.000, 0.000)
Ta (0.500, 0.500, 0.000)

=====

Entry 6:
DFT (PBE-GGA) results for an optimized crystal structure of Li8SbAs2.

Summary:
formation energy from raw total energies: -6.7 eV per formula unit

a = 4.437 Å, b = 6.322 Å, c = 7.705 Å
α = 114.14°, β = 106.51°, γ = 90.50°
Fractional coordinates of all 11 atoms:
Li (0.650, 0.227, 0.910)
Li (0.956, 0.031, 0.565)
Li (0.299, 0.374, 0.253)
Li (0.749, 0.962, 0.141)
Li (0.320, 0.857, 0.294)
Li (0.936, 0.472, 0.525)
Li (0.185, 0.500, 0.909)
Li (0.516, 0.732, 0.674)
Sb (0.136, 0.947, 0.909)
As (0.792, 0.614, 0.241)
As (0.461, 0.283, 0.579)

=====

We obtain ρ values of 13.085, 9.417, 7.537, 8.194, 9.932, 2.902 g cm⁻³ for the records listed above, in that order.
We obtain energy values of -7.245, -10.345, -3.593, -8.819, -8.204, -3.225 eV per atom for the records listed above, in that order.